# LaAlPd (PBE-GGA, relaxed)
# DFT formation energy = -18.64 kcal/mol of atoms
data_LaAlPd
_chemical_formula_sum 'La6 Al6 Pd6'
_cell_length_a 7.263
_cell_length_b 4.413
_cell_length_c 12.431
_cell_angle_alpha 90.00
_cell_angle_beta 92.25
_cell_angle_gamma 90.00
_symmetry_space_group_name_H-M 'P 1 21/m 1'
_symmetry_Int_Tables_number 11
loop_
_symmetry_equiv_pos_as_xyz
'x,y,z'
'-x,-y,-z'
'-x,y+1/2,-z'
'x,-y+1/2,z'
loop_
_atom_site_label
_atom_site_type_symbol
_atom_site_fract_x
_atom_site_fract_y
_atom_site_fract_z
_atom_site_occupancy
La1 La 0.029 0.250 0.291 1
La2 La 0.349 0.750 0.921 1
La3 La 0.470 0.750 0.628 1
Al1 Al 0.004 0.250 0.919 1
Al2 Al 0.141 0.250 0.541 1
Al3 Al 0.351 0.750 0.198 1
Pd1 Pd 0.215 0.250 0.095 1
Pd2 Pd 0.222 0.750 0.429 1
Pd3 Pd 0.265 0.250 0.758 1

# VNi6Pt3 (PBE-GGA, relaxed)
# E above lowest polymorph = 2.98 kcal/mol of atoms
# DFT formation energy = 0.04 kcal/mol of atoms
data_VNi6Pt3
_chemical_formula_sum 'V6 Ni36 Pt18'
_cell_length_a 8.7431
_cell_length_b 8.7431
_cell_length_c 12.0647
_cell_angle_alpha 90.00
_cell_angle_beta 90.00
_cell_angle_gamma 120.00
_symmetry_space_group_name_H-M 'R -3'
_symmetry_Int_Tables_number 148
_symmetry_space_group_name_Hall '-R 3'
loop_
_atom_site_label
_atom_site_type_symbol
_atom_site_fract_x
_atom_site_fract_y
_atom_site_fract_z
_atom_site_occupancy
V1 V 0.0000 0.0000 0.0000 1
V2 V 0.0000 0.0000 0.5000 1
Ni1 Ni 0.0353 0.4783 0.0991 1
Ni2 Ni 0.0527 0.8687 0.8312 1
Pt1 Pt 0.0111 0.4635 0.3067 1

# DyCd2Ga (PBE-GGA, relaxed)
# E above lowest polymorph = 0.00 kcal/mol of atoms
# DFT formation energy = -7.92 kcal/mol of atoms
data_DyCd2Ga
_chemical_formula_sum 'Dy2 Cd4 Ga2'
_cell_length_a 6.067
_cell_length_b 4.619
_cell_length_c 6.400
_cell_angle_alpha 90.00
_cell_angle_beta 90.05
_cell_angle_gamma 90.00
_symmetry_space_group_name_H-M 'P 1 21/m 1'
_symmetry_Int_Tables_number 11
loop_
_symmetry_equiv_pos_as_xyz
'x,y,z'
'-x,-y,-z'
'-x,y+1/2,-z'
'x,-y+1/2,z'
loop_
_atom_site_label
_atom_site_type_symbol
_atom_site_fract_x
_atom_site_fract_y
_atom_site_fract_z
_atom_site_occupancy
Dy1 Dy 0.250 0.250 0.095 1
Cd1 Cd 0.007 0.750 0.356 1
Cd2 Cd 0.495 0.750 0.356 1
Ga1 Ga 0.250 0.750 0.783 1

# ZrTi2HRh (PBE-GGA, relaxed)
# E above lowest polymorph = 0.00 kcal/mol of atoms
data_ZrTi2HRh
_chemical_formula_sum 'Zr1 Ti2 H1 Rh1'
_cell_length_a 3.910
_cell_length_b 3.910
_cell_length_c 4.683
_cell_angle_alpha 90.00
_cell_angle_beta 90.00
_cell_angle_gamma 90.00
_symmetry_space_group_name_H-M 'P 4/m m m'
_symmetry_Int_Tables_number 123
_symmetry_space_group_name_Hall '-P 4 2'
loop_
_atom_site_label
_atom_site_type_symbol
_atom_site_fract_x
_atom_site_fract_y
_atom_site_fract_z
_atom_site_occupancy
Zr1 Zr 0.000 0.000 0.000 1
Ti1 Ti 0.000 0.500 0.500 1
H1 H 0.000 0.000 0.500 1
Rh1 Rh 0.500 0.500 0.000 1

So what do the calculations give for N(E_F)? Going down the list: 9.74, 84.77, 4.09, 6.21 states/eV/cell.
So what do the calculations give for VASP energy? Going down the list: -97.73, -371.47, -21.67, -36.86 eV for the cell shown.